No. 1
Entry from Alexandria via LeMat-Bulk: an optimized crystal structure of Pr3Nd5Ho2 (PBE).

Properties
Crystal system = monoclinic
Energy = -4.570 eV per atom
ΔE to the lowest computed polymorph = 0 meV per atom
Calculated formation energy = 1.63 eV/f.u.
Total moment = 0.0 μB per cell

Structure (CIF):
```
data_Pr3Nd5Ho2
_symmetry_space_group_name_H-M 'C 1 2/m 1'
_symmetry_Int_Tables_number 12
_cell_length_a 11.786
_cell_length_b 5.579
_cell_length_c 10.927
_cell_angle_alpha 90.00
_cell_angle_beta 98.67
_cell_angle_gamma 90.00
loop_
_symmetry_equiv_pos_as_xyz
'x,y,z'
'-x,-y,-z'
'-x,y,-z'
'x,-y,z'
'x+1/2,y+1/2,z'
'-x+1/2,-y+1/2,-z'
'-x+1/2,y+1/2,-z'
'x+1/2,-y+1/2,z'
loop_
_atom_site_label
_atom_site_fract_x
_atom_site_fract_y
_atom_site_fract_z
_atom_site_occupancy
Pr1 0.000 0.000 0.000 1
Pr2 0.237 0.500 0.610 1
Nd1 0.000 0.000 0.500 1
Nd2 0.142 0.000 0.763 1
Nd3 0.177 0.500 0.949 1
Ho1 0.062 0.500 0.275 1
```

No. 2
Entry from Alexandria via LeMat-Bulk: an optimized crystal structure of LiY2N (PBE).

Properties
Crystal system = tetragonal
Energy = -6.334 eV per atom
E_form (uncorrected) = -542 meV per atom
Total moment = 0.0 μB per cell

Structure (CIF):
```
data_LiY2N
_symmetry_space_group_name_H-M 'I -4 2 d'
_symmetry_Int_Tables_number 122
_symmetry_space_group_name_Hall 'I -4 2bw'
_cell_length_a 6.677
_cell_length_b 6.677
_cell_length_c 8.858
_cell_angle_alpha 90.00
_cell_angle_beta 90.00
_cell_angle_gamma 90.00
loop_
_atom_site_label
_atom_site_fract_x
_atom_site_fract_y
_atom_site_fract_z
_atom_site_occupancy
Li1 0.000 0.000 0.000 1
Y1 0.148 0.250 0.625 1
N1 0.000 0.000 0.500 1
```

No. 3
Entry from Alexandria via LeMat-Bulk: an optimized crystal structure of Cd2Cu2Ru (PBE).

Properties
Crystal system = tetragonal
Energy = -3.535 eV per atom
ΔE to the lowest computed polymorph = 0 meV per atom
Calculated formation energy = 1.63 eV/f.u.
Total moment = 0.0 μB per cell

Structure (CIF):
```
data_Cd2Cu2Ru
_symmetry_space_group_name_H-M 'P 4/m b m'
_symmetry_Int_Tables_number 127
_symmetry_space_group_name_Hall '-P 4 2ab'
_cell_length_a 6.599
_cell_length_b 6.599
_cell_length_c 3.735
_cell_angle_alpha 90.00
_cell_angle_beta 90.00
_cell_angle_gamma 90.00
loop_
_atom_site_label
_atom_site_fract_x
_atom_site_fract_y
_atom_site_fract_z
_atom_site_occupancy
Cd1 0.180 0.320 0.000 1
Cu1 0.127 0.627 0.500 1
Ru1 0.000 0.000 0.500 1
```